(1)
ZrGeSbI2 PBEsol optimized geometry; magnetic moment = 0.1468 μB per atom; uncorrected energy = -4.150 eV/atom; SG = P4/mmm (123); relative energy among the computed polymorphs = 0 meV per atom
1.0
5.478 0.000 0.000
0.000 5.478 0.000
0.000 0.000 5.735
Zr Ge Sb I
1 1 1 2
Direct
0.000 0.000 0.000 Zr
0.500 0.500 0.500 Ge
0.000 0.000 0.500 Sb
0.000 0.500 0.000 I
0.500 0.000 0.000 I



(2)
MgSc PBEsol optimized geometry; magnetic moment = 0.0002 μB per atom; uncorrected energy = -4.136 eV/atom; DFT formation energy = 0.0248 eV per atom; SG = R-3m (166)
1.0
1.612 0.931 5.178
-1.612 0.931 5.178
0.000 -1.861 5.178
Mg Sc
1 1
Direct
0.000 0.000 0.000 Mg
0.500 0.500 0.500 Sc



(3)
Cr3GeN PBEsol optimized geometry; magnetic moment = 0.0830 μB per atom; uncorrected energy = -9.214 eV/atom; SG = P-42_1m (113); relative energy among the computed polymorphs = 0 meV per atom
1.0
5.236 0.000 0.000
0.000 5.236 0.000
0.000 0.000 3.944
Cr Ge N
6 2 2
Direct
0.000 0.000 0.000 Cr
0.206 0.294 0.423 Cr
0.294 0.794 0.577 Cr
0.500 0.500 0.000 Cr
0.706 0.206 0.577 Cr
0.794 0.706 0.423 Cr
0.000 0.500 0.943 Ge
0.500 0.000 0.057 Ge
0.000 0.000 0.500 N
0.500 0.500 0.500 N



(4)
KNa2Ga PBEsol optimized geometry; magnetic moment = 0.0000 μB per atom; uncorrected energy = -1.612 eV/atom; DFT formation energy = 0.2058 eV per atom; SG = I-42d (122)
1.0
-2.446 2.446 11.516
2.446 -2.446 11.516
2.446 2.446 -11.516
K Na Ga
2 4 2
Direct
0.000 0.000 0.000 K
0.750 0.250 0.500 K
0.170 0.625 0.045 Na
0.375 0.420 0.545 Na
0.580 0.125 0.955 Na
0.875 0.830 0.455 Na
0.250 0.750 0.500 Ga
0.500 0.500 0.000 Ga



(5)
Dy10Al4Ge11 PBEsol optimized geometry; magnetic moment = 0.0000 μB per atom; uncorrected energy = -5.616 eV/atom; DFT formation energy = -0.7968 eV per atom; SG = C2/m (12)
1.0
5.213 -2.025 0.000
5.213 2.025 0.000
-3.768 0.000 24.402
Dy Al Ge
10 4 11
Direct
0.019 0.019 0.157 Dy
0.154 0.154 0.443 Dy
0.239 0.239 0.759 Dy
0.371 0.371 0.042 Dy
0.410 0.410 0.356 Dy
0.590 0.590 0.644 Dy
0.629 0.629 0.958 Dy
0.761 0.761 0.241 Dy
0.846 0.846 0.557 Dy
0.981 0.981 0.843 Dy
0.086 0.086 0.298 Al
0.305 0.305 0.901 Al
0.695 0.695 0.099 Al
0.914 0.914 0.702 Al
0.084 0.084 0.043 Ge
0.134 0.134 0.561 Ge
0.306 0.306 0.156 Ge
0.306 0.306 0.645 Ge
0.473 0.473 0.242 Ge
0.500 0.500 0.500 Ge
0.527 0.527 0.758 Ge
0.694 0.694 0.355 Ge
0.694 0.694 0.844 Ge
0.866 0.866 0.439 Ge
0.916 0.916 0.957 Ge



(6)
SrHfN2 PBEsol optimized geometry; magnetic moment = 0.0000 μB per atom; uncorrected energy = -8.902 eV/atom; SG = R-3m (166)
1.0
1.658 0.958 5.862
-1.658 0.958 5.862
0.000 -1.915 5.862
Sr Hf N
1 1 2
Direct
0.000 0.000 0.000 Sr
0.500 0.500 0.500 Hf
0.233 0.233 0.233 N
0.767 0.767 0.767 N



(7)
TaReCl PBEsol optimized geometry; magnetic moment = 0.0000 μB per atom; uncorrected energy = -8.649 eV/atom; SG = Imm2 (44)
1.0
-1.397 2.120 4.027
1.397 -2.120 4.027
1.397 2.120 -4.027
Ta Re Cl
1 1 1
Direct
0.000 0.000 0.000 Ta
0.663 0.663 0.000 Re
0.323 0.323 0.000 Cl



(8)
Li2BeGaOs PBEsol optimized geometry; magnetic moment = 0.0563 μB per atom; uncorrected energy = -4.278 eV/atom; DFT formation energy = 0.4198 eV per atom; SG = P4/mmm (123)
1.0
3.951 0.000 0.000
0.000 3.951 0.000
0.000 0.000 4.215
Li Be Ga Os
2 1 1 1
Direct
0.000 0.500 0.000 Li
0.500 0.000 0.000 Li
0.000 0.000 0.000 Be
0.500 0.500 0.500 Ga
0.000 0.000 0.500 Os



(9)
Tl5In4 PBEsol optimized geometry; magnetic moment = 0.0001 μB per atom; uncorrected energy = -2.757 eV/atom; DFT formation energy = 0.0301 eV per atom; SG = P6_3/mcm (193); relative energy among the computed polymorphs = 14 meV per atom
1.0
9.461 0.000 0.000
-4.730 8.193 0.000
0.000 0.000 6.329
Tl In
10 8
Direct
0.000 0.351 0.250 Tl
0.000 0.649 0.750 Tl
0.333 0.667 0.000 Tl
0.333 0.667 0.500 Tl
0.351 0.000 0.250 Tl
0.351 0.351 0.750 Tl
0.649 0.000 0.750 Tl
0.649 0.649 0.250 Tl
0.667 0.333 0.000 Tl
0.667 0.333 0.500 Tl
0.000 0.000 0.000 In
0.000 0.000 0.500 In
0.000 0.311 0.750 In
0.000 0.689 0.250 In
0.311 0.000 0.750 In
0.311 0.311 0.250 In
0.689 0.000 0.250 In
0.689 0.689 0.750 In



(10)
Cr7P6O24 PBEsol optimized geometry; magnetic moment = 0.6486 μB per atom; uncorrected energy = -8.283 eV/atom; SG = P-1 (2)
1.0
6.252 0.000 0.000
-1.497 7.798 0.000
-2.915 -3.203 8.203
Cr P O
7 6 24
Direct
0.000 0.000 0.000 Cr
0.048 0.711 0.521 Cr
0.288 0.825 0.300 Cr
0.381 0.461 0.110 Cr
0.619 0.539 0.890 Cr
0.712 0.175 0.700 Cr
0.952 0.289 0.479 Cr
0.094 0.597 0.835 P
0.223 0.138 0.765 P
0.393 0.241 0.367 P
0.607 0.759 0.633 P
0.777 0.862 0.235 P
0.906 0.403 0.165 P
0.006 0.179 0.653 O
0.073 0.550 0.654 O
0.119 0.796 0.920 O
0.121 0.534 0.161 O
0.202 0.937 0.702 O
0.220 0.195 0.941 O
0.248 0.288 0.468 O
0.268 0.042 0.231 O
0.317 0.543 0.920 O
0.365 0.750 0.506 O
0.445 0.374 0.284 O
0.455 0.253 0.766 O
0.545 0.747 0.234 O
0.555 0.626 0.716 O
0.635 0.250 0.494 O
0.683 0.457 0.080 O
0.732 0.958 0.769 O
0.752 0.712 0.532 O
0.780 0.805 0.059 O
0.798 0.063 0.298 O
0.879 0.466 0.839 O
0.881 0.204 0.080 O
0.927 0.450 0.346 O
0.994 0.821 0.347 O



(11)
Pb3Se2 PBEsol optimized geometry; magnetic moment = 0.0000 μB per atom; uncorrected energy = -4.108 eV/atom; SG = P-3m1 (164)
1.0
5.306 0.000 0.000
-2.653 4.595 0.000
0.000 0.000 6.062
Pb Se
3 2
Direct
0.000 0.000 0.000 Pb
0.333 0.667 0.281 Pb
0.667 0.333 0.719 Pb
0.333 0.667 0.774 Se
0.667 0.333 0.226 Se



(12)
Sb2TeRhSe PBEsol optimized geometry; magnetic moment = 0.0001 μB per atom; uncorrected energy = -4.573 eV/atom; SG = P4/mmm (123)
1.0
5.012 0.000 0.000
0.000 5.012 0.000
0.000 0.000 5.233
Sb Te Rh Se
2 1 1 1
Direct
0.000 0.500 0.000 Sb
0.500 0.000 0.000 Sb
0.000 0.000 0.500 Te
0.000 0.000 0.000 Rh
0.500 0.500 0.500 Se



magnetic moment of number 3 (Cr3GeN)? 0.0830 μB per atom